(1)
{"formula": "LiTcBr2", "functional": "PBE", "state": "optimized geometry", "lattice_angstrom": [[6.2092, 0.6807, -0.0087], [1.1388, 6.1417, -0.0087], [1.7555, 1.6300, 2.6446]], "species": ["Br", "Br", "Tc", "Li"], "fractional_positions": [[0.5000, 0.5000, 0.0000], [0.0000, 0.0000, 0.0000], [0.0000, 0.5000, 0.5000], [0.5000, 0.0000, 0.5000]], "dos_at_fermi_per_ev_fu": 2.2, "e_above_lowest_polymorph_mev_per_atom": 119.5, "e_form_raw_ev_per_atom": 0.015, "final_energy_ry_per_atom": -0.286, "space_group": "C2/m (12)"}



(2)
{"formula": "LaV2H2", "functional": "PBE", "state": "optimized geometry", "lattice_angstrom": [[3.3942, 0.0000, 0.0000], [0.0000, 3.3942, 0.0000], [1.6971, 1.6971, 5.9296]], "species": ["V", "V", "La", "H", "H"], "fractional_positions": [[0.7024, 0.7024, 0.5951], [0.2976, 0.2976, 0.4049], [0.0000, 0.0000, 0.0000], [0.7500, 0.2500, 0.5000], [0.2500, 0.7500, 0.5000]], "dos_at_fermi_per_ev_fu": 4.9, "e_above_lowest_polymorph_mev_per_atom": 0.0, "final_energy_ry_per_atom": -0.435, "space_group": "I4/mmm (139)"}



(3)
{"formula": "HoCoOs", "functional": "PBE", "state": "optimized geometry", "lattice_angstrom": [[-6.1250, 2.4317, 1.0562], [-2.3581, -3.7819, -4.9680], [-1.0306, -4.1955, 3.6831]], "species": ["Os", "Os", "Os", "Os", "Ho", "Ho", "Ho", "Ho", "Co", "Co", "Co", "Co"], "fractional_positions": [[0.8856, 0.8856, 0.5000], [0.6144, 0.3856, 0.7500], [0.3856, 0.6144, 0.2500], [0.1144, 0.1144, 0.0000], [0.7417, 0.2583, 0.2500], [0.2417, 0.2417, 0.5000], [0.7583, 0.7583, 0.0000], [0.2583, 0.7417, 0.7500], [0.3532, 0.3532, 0.0000], [0.8532, 0.1468, 0.7500], [0.1468, 0.8532, 0.2500], [0.6468, 0.6468, 0.5000]], "formation_enthalpy_0k_mev_per_atom": 175, "dos_at_fermi_per_ev_fu": 1.8, "e_above_lowest_polymorph_mev_per_atom": 462.3, "final_energy_ry_per_atom": -0.548, "space_group": "P4_12_12 (92)"}



(4)
{"formula": "Ce2ScPb", "functional": "PBE", "state": "optimized geometry", "lattice_angstrom": [[-3.1830, 2.9051, 2.9544], [0.1396, -3.0907, 3.1895], [3.5210, 2.0219, 1.8053]], "species": ["Ce", "Ce", "Pb", "Sc"], "fractional_positions": [[0.0000, 0.0000, 0.5000], [0.0000, 0.5000, 0.0000], [0.5000, 0.5000, 0.5000], [0.5000, 0.0000, 0.0000]], "formation_enthalpy_0k_mev_per_atom": -279, "dos_at_fermi_per_ev_fu": 9.7, "e_above_lowest_polymorph_mev_per_atom": 13.1, "final_energy_ry_per_atom": -0.423, "space_group": "P4/mmm (123)"}



(5)
{"formula": "Tb12Nd5Er2", "functional": "PBE", "state": "optimized geometry", "lattice_angstrom": [[9.1234, 0.0000, 0.0000], [-4.5617, 8.2705, 3.3896], [0.0000, 0.5437, 8.6800]], "species": ["Tb", "Tb", "Tb", "Tb", "Tb", "Tb", "Tb", "Tb", "Tb", "Tb", "Tb", "Tb", "Nd", "Nd", "Nd", "Nd", "Nd", "Er", "Er"], "fractional_positions": [[0.4401, 0.8803, 0.7170], [0.5599, 0.1197, 0.2830], [0.9534, 0.9069, 0.1825], [0.3309, 0.2910, 0.0946], [0.5975, 0.7448, 0.4562], [0.4025, 0.2552, 0.5438], [0.8526, 0.2552, 0.5438], [0.9601, 0.2910, 0.0946], [0.1474, 0.7448, 0.4562], [0.6691, 0.7090, 0.9054], [0.0466, 0.0931, 0.8175], [0.0399, 0.7090, 0.9054], [0.7619, 0.5237, 0.2926], [0.2903, 0.5806, 0.2214], [0.0000, 0.0000, 0.5000], [0.7097, 0.4194, 0.7786], [0.2381, 0.4763, 0.7074], [0.3269, 0.0000, 0.0000], [0.6731, 0.0000, 0.0000]], "formation_enthalpy_0k_mev_per_atom": 210, "dos_at_fermi_per_ev_fu": 29.1, "final_energy_ry_per_atom": -0.327, "space_group": "C2/m (12)"}



(6)
{"formula": "Ti4AlFe5", "functional": "PBE", "state": "optimized geometry", "lattice_angstrom": [[-0.5415, -0.9034, -2.7476], [-1.0605, -2.5386, 1.0437], [-13.3501, 5.8657, 0.7025]], "species": ["Al", "Ti", "Ti", "Ti", "Ti", "Fe", "Fe", "Fe", "Fe", "Fe"], "fractional_positions": [[0.0000, 0.0000, 0.0000], [0.0000, 0.0000, 0.1937], [0.0000, 0.0000, 0.8063], [0.0000, 0.0000, 0.3979], [0.0000, 0.0000, 0.6021], [0.5000, 0.5000, 0.7004], [0.5000, 0.5000, 0.2996], [0.5000, 0.5000, 0.5000], [0.5000, 0.5000, 0.9007], [0.5000, 0.5000, 0.0993]], "formation_enthalpy_0k_mev_per_atom": -420, "dos_at_fermi_per_ev_fu": 5.5, "final_energy_ry_per_atom": -0.602, "space_group": "P4/mmm (123)"}



(7)
{"formula": "ZrSiAs3", "functional": "PBE", "state": "optimized geometry", "lattice_angstrom": [[4.7291, 0.0000, 0.0000], [0.0000, 4.7291, 0.0000], [0.0000, 0.0000, 4.7291]], "species": ["As", "As", "As", "Zr", "Si"], "fractional_positions": [[0.5000, 0.0000, 0.0000], [0.0000, 0.5000, 0.0000], [0.0000, 0.0000, 0.5000], [0.5000, 0.5000, 0.5000], [0.0000, 0.0000, 0.0000]], "dos_at_fermi_per_ev_fu": 4.0, "e_form_raw_ev_per_atom": 0.406, "final_energy_ry_per_atom": -0.381, "space_group": "Pm-3m (221)"}



(8)
{"formula": "CaSm2Ga", "functional": "PBE", "state": "optimized geometry", "lattice_angstrom": [[-0.8405, -4.9051, -0.8171], [2.0734, -2.2832, -3.9903], [5.0746, -3.7257, 1.5816]], "species": ["Sm", "Sm", "Ga", "Ca"], "fractional_positions": [[0.7241, 0.7241, 0.8276], [0.2759, 0.2759, 0.1724], [0.0000, 0.0000, 0.0000], [0.5000, 0.5000, 0.5000]], "formation_enthalpy_0k_mev_per_atom": -53, "dos_at_fermi_per_ev_fu": 4.6, "e_above_lowest_polymorph_mev_per_atom": 175.4, "final_energy_ry_per_atom": -0.270, "space_group": "R-3m (166)"}



(9)
{"formula": "Cd2Co2B", "functional": "PBE", "state": "optimized geometry", "lattice_angstrom": [[-4.5106, 1.3739, 2.7763], [-2.8417, -3.7873, -2.7427], [1.0105, -3.0346, 3.1434]], "species": ["Co", "Co", "Co", "Co", "B", "B", "Cd", "Cd", "Cd", "Cd"], "fractional_positions": [[0.6557, 0.1557, 0.0000], [0.8443, 0.6557, 0.0000], [0.1557, 0.3443, 0.0000], [0.3443, 0.8443, 0.0000], [0.5000, 0.5000, 0.0000], [0.0000, 0.0000, 0.0000], [0.3266, 0.1734, 0.5000], [0.1734, 0.6734, 0.5000], [0.8266, 0.3266, 0.5000], [0.6734, 0.8266, 0.5000]], "formation_enthalpy_0k_mev_per_atom": 188, "dos_at_fermi_per_ev_fu": 2.6, "e_above_lowest_polymorph_mev_per_atom": 0.0, "final_energy_ry_per_atom": -0.320, "space_group": "P4/mbm (127)"}



(10)
{"formula": "BaCa2Pd2", "functional": "PBE", "state": "optimized geometry", "lattice_angstrom": [[8.7886, 0.0000, 0.0000], [0.0000, 8.7886, 0.0000], [0.0000, 0.0000, 3.4278]], "species": ["Ba", "Ba", "Pd", "Pd", "Pd", "Pd", "Ca", "Ca", "Ca", "Ca"], "fractional_positions": [[0.0000, 0.0000, 0.0000], [0.5000, 0.5000, 0.0000], [0.6629, 0.8371, 0.5000], [0.1629, 0.6629, 0.5000], [0.8371, 0.3371, 0.5000], [0.3371, 0.1629, 0.5000], [0.3683, 0.8683, 0.0000], [0.6317, 0.1317, 0.0000], [0.8683, 0.6317, 0.0000], [0.1317, 0.3683, 0.0000]], "formation_enthalpy_0k_mev_per_atom": -403, "dos_at_fermi_per_ev_fu": 2.2, "e_above_lowest_polymorph_mev_per_atom": 105.6, "final_energy_ry_per_atom": -0.269, "space_group": "P4/mbm (127)"}



(11)
{"formula": "NdTm12Sc7", "functional": "PBE", "state": "optimized geometry", "lattice_angstrom": [[9.5371, -0.6142, -0.9219], [-3.2419, 8.9902, -0.9219], [-3.2419, -4.3134, 7.9415]], "species": ["Tm", "Tm", "Tm", "Tm", "Tm", "Tm", "Tm", "Tm", "Tm", "Tm", "Tm", "Tm", "Sc", "Sc", "Sc", "Sc", "Sc", "Sc", "Sc", "Nd"], "fractional_positions": [[0.5716, 0.9045, 0.5716], [0.7179, 0.2821, 0.0000], [0.9045, 0.5716, 0.5716], [0.2821, 0.0000, 0.7179], [0.0000, 0.2821, 0.7179], [0.0955, 0.4284, 0.4284], [0.4284, 0.0955, 0.4284], [0.0000, 0.7179, 0.2821], [0.4284, 0.4284, 0.0955], [0.7179, 0.0000, 0.2821], [0.5716, 0.5716, 0.9045], [0.2821, 0.7179, 0.0000], [0.8439, 0.8439, 0.5108], [0.4892, 0.1561, 0.1561], [0.8439, 0.5108, 0.8439], [0.5000, 0.5000, 0.5000], [0.1561, 0.4892, 0.1561], [0.1561, 0.1561, 0.4892], [0.5108, 0.8439, 0.8439], [0.0000, 0.0000, 0.0000]], "formation_enthalpy_0k_mev_per_atom": 272, "dos_at_fermi_per_ev_fu": 37.7, "e_above_lowest_polymorph_mev_per_atom": 0.0, "final_energy_ry_per_atom": -0.358, "space_group": "R-3m (166)"}



(12)
{"formula": "VFe3Ni4", "functional": "PBE", "state": "optimized geometry", "lattice_angstrom": [[3.5297, 0.0000, 0.0000], [0.0000, 3.5093, 0.3736], [-1.7649, 0.9845, 7.4348]], "species": ["Ni", "Ni", "Ni", "Ni", "Fe", "Fe", "Fe", "V"], "fractional_positions": [[0.3751, 0.6249, 0.7502], [0.6249, 0.3751, 0.2498], [0.1249, 0.8752, 0.2498], [0.8751, 0.1248, 0.7502], [0.2487, 0.2513, 0.4975], [0.0000, 0.5000, 0.0000], [0.7513, 0.7487, 0.5025], [0.5000, 0.0000, 0.0000]], "formation_enthalpy_0k_mev_per_atom": -111, "dos_at_fermi_per_ev_fu": 6.1, "final_energy_ry_per_atom": -0.538, "space_group": "I4/mmm (139)"}



(13)
{"formula": "SnRhPbSe2", "functional": "PBE", "state": "optimized geometry", "lattice_angstrom": [[5.4340, 0.0000, 0.0000], [0.0000, 5.6503, 0.0000], [0.0000, 0.0000, 5.4340]], "species": ["Se", "Se", "Pb", "Rh", "Sn"], "fractional_positions": [[0.0000, 0.0000, 0.5000], [0.5000, 0.0000, 0.0000], [0.0000, 0.0000, 0.0000], [0.5000, 0.5000, 0.5000], [0.0000, 0.5000, 0.0000]], "dos_at_fermi_per_ev_fu": 6.2, "e_above_lowest_polymorph_mev_per_atom": 474.9, "e_form_raw_ev_per_atom": 1.169, "final_energy_ry_per_atom": -0.238, "space_group": "P4/mmm (123)"}



(14)
{"formula": "HfThCo2", "functional": "PBE", "state": "optimized geometry", "lattice_angstrom": [[-3.6840, 1.4766, 1.5284], [-2.6482, -2.6140, 2.0597], [0.0552, 0.7107, 5.3639]], "species": ["Th", "Hf", "Co", "Co"], "fractional_positions": [[0.5000, 0.5000, 0.5000], [0.0000, 0.0000, 0.0000], [0.7191, 0.7191, 0.8428], [0.2809, 0.2809, 0.1572]], "formation_enthalpy_0k_mev_per_atom": -246, "dos_at_fermi_per_ev_fu": 2.7, "e_above_lowest_polymorph_mev_per_atom": 0.0, "final_energy_ry_per_atom": -0.598, "space_group": "R-3m (166)"}



(15)
{"formula": "Cs3OsBr8", "functional": "PBE", "state": "optimized geometry", "lattice_angstrom": [[9.8174, 0.0000, 0.0000], [0.0000, 9.2846, -5.3605], [0.0000, 0.0000, 10.7209]], "species": ["Cs", "Cs", "Cs", "Cs", "Cs", "Cs", "Br", "Br", "Br", "Br", "Br", "Br", "Br", "Br", "Br", "Br", "Br", "Br", "Br", "Br", "Br", "Br", "Os", "Os"], "fractional_positions": [[0.7096, 0.6923, 0.8462], [0.7096, 0.1538, 0.8462], [0.2096, 0.3077, 0.1538], [0.7096, 0.1538, 0.3077], [0.2096, 0.8462, 0.6923], [0.2096, 0.8462, 0.1538], [0.7978, 0.7757, 0.5514], [0.7978, 0.4486, 0.2243], [0.0042, 0.4432, 0.8865], [0.5042, 0.5568, 0.4432], [0.0042, 0.1135, 0.5568], [0.9628, 0.0000, 0.0000], [0.4628, 0.0000, 0.0000], [0.2978, 0.5514, 0.7757], [0.2978, 0.2243, 0.4486], [0.2978, 0.2243, 0.7757], [0.5042, 0.8865, 0.4432], [0.1261, 0.6667, 0.3333], [0.7978, 0.7757, 0.2243], [0.0042, 0.4432, 0.5568], [0.6261, 0.3333, 0.6667], [0.5042, 0.5568, 0.1135], [0.6493, 0.6667, 0.3333], [0.1493, 0.3333, 0.6667]], "dos_at_fermi_per_ev_fu": 2.0, "e_form_raw_ev_per_atom": -0.951, "final_energy_ry_per_atom": -0.236, "space_group": "P6_3mc (186)"}



(16)
{"formula": "Sc2PtW", "functional": "PBE", "state": "optimized geometry", "lattice_angstrom": [[1.7220, 0.0000, 9.8015], [-0.8610, 1.4913, 9.8015], [-0.8610, -1.4913, 9.8015]], "species": ["Sc", "Sc", "Pt", "W"], "fractional_positions": [[0.0911, 0.0911, 0.0911], [0.9089, 0.9089, 0.9089], [0.5000, 0.5000, 0.5000], [0.0000, 0.0000, 0.0000]], "formation_enthalpy_0k_mev_per_atom": 139, "dos_at_fermi_per_ev_fu": 3.9, "e_above_lowest_polymorph_mev_per_atom": 532.9, "final_energy_ry_per_atom": -0.571, "space_group": "R-3m (166)"}



(17)
{"formula": "ZrTiAuF2", "functional": "PBE", "state": "optimized geometry", "lattice_angstrom": [[-1.4498, -3.6693, -1.1661], [2.5726, 0.6022, -5.0933], [3.3795, -1.8098, 1.4930]], "species": ["F", "F", "Zr", "Ti", "Au"], "fractional_positions": [[0.0000, 0.0000, 0.5000], [0.5000, 0.0000, 0.0000], [0.0000, 0.0000, 0.0000], [0.5000, 0.5000, 0.5000], [0.0000, 0.5000, 0.0000]], "dos_at_fermi_per_ev_fu": 4.0, "e_form_raw_ev_per_atom": -1.416, "final_energy_ry_per_atom": -0.449, "space_group": "P4/mmm (123)"}



(18)
{"formula": "TiMn3Mo", "functional": "PBE", "state": "optimized geometry", "lattice_angstrom": [[4.1697, 0.0000, 0.0000], [0.0000, 4.1697, 0.0000], [0.0000, 0.0000, 4.1697]], "species": ["Ti", "Mn", "Mn", "Mn", "Mo"], "fractional_positions": [[0.0000, 0.0000, 0.0000], [0.0000, 0.5000, 0.0000], [0.5000, 0.0000, 0.0000], [0.0000, 0.0000, 0.5000], [0.5000, 0.5000, 0.5000]], "formation_enthalpy_0k_mev_per_atom": 1347, "dos_at_fermi_per_ev_fu": 5.0, "e_above_lowest_polymorph_mev_per_atom": 157.2, "final_energy_ry_per_atom": -0.581, "space_group": "Pm-3m (221)"}



(19)
{"formula": "RbTiGa", "functional": "PBE", "state": "optimized geometry", "lattice_angstrom": [[4.4439, -2.5657, 0.0000], [0.0000, 5.1314, 0.0000], [0.0000, 0.0000, 8.4771]], "species": ["Rb", "Rb", "Ga", "Ga", "Ti", "Ti"], "fractional_positions": [[0.6667, 0.3333, 0.0000], [0.6667, 0.3333, 0.5000], [0.3333, 0.6667, 0.3273], [0.3333, 0.6667, 0.6727], [0.0000, 0.0000, 0.3451], [0.0000, 0.0000, 0.6549]], "formation_enthalpy_0k_mev_per_atom": 698, "dos_at_fermi_per_ev_fu": 1.3, "e_above_lowest_polymorph_mev_per_atom": 693.9, "final_energy_ry_per_atom": -0.240, "space_group": "P-6m2 (187)"}



(20)
{"formula": "Pa2GeAu", "functional": "PBE", "state": "optimized geometry", "lattice_angstrom": [[-1.4164, 1.4621, 3.2771], [-3.1311, -2.2247, -0.3607], [2.7656, -4.4048, 3.1606]], "species": ["Ge", "Au", "Pa", "Pa"], "fractional_positions": [[0.5000, 0.5000, 0.0000], [0.5000, 0.5000, 0.5000], [0.0000, 0.0000, 0.2304], [0.0000, 0.0000, 0.7696]], "formation_enthalpy_0k_mev_per_atom": -289, "dos_at_fermi_per_ev_fu": 7.5, "e_above_lowest_polymorph_mev_per_atom": 16.8, "final_energy_ry_per_atom": -0.515, "space_group": "P4/mmm (123)"}